P.
ZrSi3B PBE-GGA relaxed; symmetry = Pm-3m (221)
1.0
5.0659 0.0000 0.0000
0.0000 5.0659 0.0000
0.0000 0.0000 5.0659
Zr Si B
1 3 1
direct
0.0000 0.0000 0.0000
0.0000 0.0000 0.5000
0.0000 0.5000 0.0000
0.5000 0.0000 0.0000
0.5000 0.5000 0.5000

Q.
ZrSi3B PBE-GGA relaxed; symmetry = Pm-3m (221)
1.0
4.2147 0.0000 0.0000
0.0000 4.2147 0.0000
0.0000 0.0000 4.2147
Zr Si B
1 3 1
direct
0.0000 0.0000 0.0000
0.0000 0.5000 0.5000
0.5000 0.0000 0.5000
0.5000 0.5000 0.0000
0.5000 0.5000 0.5000

Which of them is most stable, and which least? Most stable: Q; least stable: P.

P.
SmB4 PBE-GGA relaxed; symmetry = Pm-3m (221)
1.0
4.7819 0.0000 0.0000
0.0000 4.7819 0.0000
0.0000 0.0000 4.7819
Sm B
1 4
direct
0.0000 0.0000 0.0000
0.0000 0.0000 0.5000
0.0000 0.5000 0.0000
0.5000 0.0000 0.0000
0.5000 0.5000 0.5000

Q.
SmB4 PBE-GGA relaxed; symmetry = P4/mbm (127)
1.0
7.1875 0.0000 0.0000
0.0000 7.1875 0.0000
0.0000 0.0000 4.0807
Sm B
4 16
direct
0.1824 0.3176 0.0000
0.3176 0.8176 0.0000
0.6824 0.1824 0.0000
0.8176 0.6824 0.0000
0.0000 0.0000 0.2045
0.0000 0.0000 0.7955
0.0390 0.8250 0.5000
0.0875 0.5875 0.5000
0.1750 0.0390 0.5000
0.3250 0.5390 0.5000
0.4125 0.0875 0.5000
0.4610 0.3250 0.5000
0.5000 0.5000 0.2045
0.5000 0.5000 0.7955
0.5390 0.6750 0.5000
0.5875 0.9125 0.5000
0.6750 0.4610 0.5000
0.8250 0.9610 0.5000
0.9125 0.4125 0.5000
0.9610 0.1750 0.5000

Which of them is most stable, and which least? Most stable: Q; least stable: P.

P.
SmTcB2 PBE-GGA relaxed; symmetry = Pnma (62)
1.0
6.0829 0.0000 0.0000
0.0000 3.5422 0.0000
0.0000 0.0000 10.1919
Sm Tc B
4 4 8
direct
0.1082 0.2500 0.1382
0.3918 0.7500 0.6382
0.6082 0.2500 0.3618
0.8918 0.7500 0.8618
0.1164 0.2500 0.4387
0.3836 0.7500 0.9387
0.6164 0.2500 0.0613
0.8836 0.7500 0.5613
0.0343 0.2500 0.6706
0.2381 0.2500 0.8152
0.2619 0.7500 0.3152
0.4657 0.7500 0.1706
0.5343 0.2500 0.8294
0.7381 0.2500 0.6848
0.7619 0.7500 0.1848
0.9657 0.7500 0.3294

Q.
SmTcB2 PBE-GGA relaxed; symmetry = Pnma (62)
1.0
6.0496 0.0000 0.0000
0.0000 5.3777 0.0000
0.0000 0.0000 6.5145
Sm Tc B
4 4 8
direct
0.0106 0.2500 0.1567
0.4894 0.7500 0.6567
0.5105 0.2500 0.3433
0.9894 0.7500 0.8433
0.1813 0.2500 0.6859
0.3187 0.7500 0.1859
0.6813 0.2500 0.8141
0.8187 0.7500 0.3141
0.1243 0.5794 0.4606
0.1243 0.9206 0.4606
0.3757 0.0794 0.9606
0.3757 0.4206 0.9606
0.6243 0.5794 0.0394
0.6243 0.9206 0.0394
0.8757 0.0794 0.5394
0.8757 0.4206 0.5394

R.
SmTcB2 PBE-GGA relaxed; symmetry = R-3m (166)
1.0
3.4188 0.0000 0.0000
-1.7094 2.9608 0.0000
0.0000 0.0000 16.9010
Sm Tc B
3 3 6
direct
0.0000 0.0000 0.0000
0.3333 0.6667 0.6667
0.6667 0.3333 0.3333
0.0000 0.0000 0.5000
0.3333 0.6667 0.1667
0.6667 0.3333 0.8333
0.0000 0.0000 0.2265
0.0000 0.0000 0.7735
0.3333 0.6667 0.4401
0.3333 0.6667 0.8932
0.6667 0.3333 0.1068
0.6667 0.3333 0.5599

Which of them is most stable, and which least? Most stable: Q; least stable: R.

P.
SmTcB4 PBE-GGA relaxed; symmetry = Pbam (55)
1.0
6.0288 0.0000 0.0000
0.0000 11.6747 0.0000
0.0000 0.0000 3.6528
Sm Tc B
4 4 16
direct
0.1255 0.1504 0.0000
0.3745 0.6504 0.0000
0.6255 0.3496 0.0000
0.8745 0.8496 0.0000
0.1306 0.4135 0.0000
0.3694 0.9135 0.0000
0.6306 0.0865 0.0000
0.8694 0.5865 0.0000
0.0234 0.6908 0.5000
0.1121 0.5463 0.5000
0.1383 0.9681 0.5000
0.2162 0.8161 0.5000
0.2838 0.3161 0.5000
0.3617 0.4681 0.5000
0.3879 0.0463 0.5000
0.4766 0.1908 0.5000
0.5234 0.8092 0.5000
0.6121 0.9537 0.5000
0.6383 0.5319 0.5000
0.7162 0.6839 0.5000
0.7838 0.1839 0.5000
0.8617 0.0319 0.5000
0.8879 0.4537 0.5000
0.9766 0.3092 0.5000

Q.
SmTcB4 PBE-GGA relaxed; symmetry = Immm (71)
1.0
3.1736 0.0000 0.0000
0.0000 5.4284 0.0000
0.0000 0.0000 7.3493
Sm Tc B
2 2 8
direct
0.0000 0.0000 0.0000
0.5000 0.5000 0.5000
0.0000 0.0000 0.5000
0.5000 0.5000 0.0000
0.0000 0.3372 0.2467
0.0000 0.3372 0.7533
0.0000 0.6628 0.2467
0.0000 0.6628 0.7533
0.5000 0.1628 0.2533
0.5000 0.1628 0.7467
0.5000 0.8372 0.2533
0.5000 0.8372 0.7467

Which of them is most stable, and which least? Most stable: P; least stable: Q.

P.
SrSn3B PBE-GGA relaxed; symmetry = Pm-3m (221)
1.0
6.0302 0.0000 0.0000
0.0000 6.0302 0.0000
0.0000 0.0000 6.0302
Sr Sn B
1 3 1
direct
0.0000 0.0000 0.0000
0.0000 0.0000 0.5000
0.0000 0.5000 0.0000
0.5000 0.0000 0.0000
0.5000 0.5000 0.5000

Q.
SrSn3B PBE-GGA relaxed; symmetry = Pm-3m (221)
1.0
5.0605 0.0000 0.0000
0.0000 5.0605 0.0000
0.0000 0.0000 5.0605
Sr Sn B
1 3 1
direct
0.0000 0.0000 0.0000
0.0000 0.5000 0.5000
0.5000 0.0000 0.5000
0.5000 0.5000 0.0000
0.5000 0.5000 0.5000

Which of them is most stable, and which least? Most stable: Q; least stable: P.

P.
SrSnB3 PBE-GGA relaxed; symmetry = Pm-3m (221)
1.0
4.9422 0.0000 0.0000
0.0000 4.9422 0.0000
0.0000 0.0000 4.9422
Sr Sn B
1 1 3
direct
0.0000 0.0000 0.0000
0.5000 0.5000 0.5000
0.0000 0.0000 0.5000
0.0000 0.5000 0.0000
0.5000 0.0000 0.0000

Q.
SrSnB3 PBE-GGA relaxed; symmetry = Pm-3m (221)
1.0
4.5937 0.0000 0.0000
0.0000 4.5937 0.0000
0.0000 0.0000 4.5937
Sr Sn B
1 1 3
direct
0.0000 0.0000 0.0000
0.5000 0.5000 0.5000
0.0000 0.5000 0.5000
0.5000 0.0000 0.5000
0.5000 0.5000 0.0000

Which of them is most stable, and which least? Most stable: Q; least stable: P.